# 1
Material: RbV3Cd
Method: DFT, PBE-GGA
State: optimized geometry

a = 5.329 Å, b = 5.329 Å, c = 5.329 Å
α = 90.00°, β = 90.00°, γ = 90.00°
Site moments in Bohr magnetons follow the coordinates.
Sites, in units of the cell vectors:
Cd: 0.000 0.000 0.000  0.06
Rb: 0.500 0.500 0.500  0.06
V: 0.000 0.500 0.000  2.83
V: 0.000 0.000 0.500  2.83
V: 0.500 0.000 0.000  2.83

Values from the calculation:
Space group ... No. 221
VASP energy ... -4.21 eV per atom
Magnetic moment ... 2.188 μB per atom
Energy of formation ... 1.640 eV per atom

=====

# 2
Material: RbVCd3
Method: DFT, PBE-GGA
State: optimized geometry

a = 5.519 Å, b = 5.519 Å, c = 5.519 Å
α = 90.00°, β = 90.00°, γ = 90.00°
Site moments in Bohr magnetons follow the coordinates.
Sites, in units of the cell vectors:
Cd: 0.000 0.500 0.000  0.07
Cd: 0.000 0.000 0.500  0.07
Cd: 0.500 0.000 0.000  0.07
Rb: 0.500 0.500 0.500  0.01
V: 0.000 0.000 0.000  2.90

Values from the calculation:
Space group ... No. 221
VASP energy ... -2.19 eV per atom
Magnetic moment ... 0.856 μB per atom
Energy of formation ... 0.379 eV per atom

=====

# 3
Material: RbV3Cd
Method: DFT, PBE-GGA
State: optimized geometry

a = 4.531 Å, b = 4.531 Å, c = 4.531 Å
α = 90.00°, β = 90.00°, γ = 90.00°
Sites, in units of the cell vectors:
Cd: 0.500 0.500 0.500
Rb: 0.000 0.000 0.000
V: 0.000 0.500 0.000
V: 0.000 0.000 0.500
V: 0.500 0.000 0.000

Values from the calculation:
Space group ... No. 221
VASP energy ... -3.42 eV per atom
Magnetic moment ... 0.000 μB per atom
Energy of formation ... 2.428 eV per atom

=====

> Look up the VASP energy of the second one.

-2.19 eV per atom